Mg2MnFeO4: relaxed, GGA+U.

Output
size of the total moment = 9.00 μB per formula unit
final energy = -6.61 eV per atom
N(E_F) = 0.00 states/eV/cell

Lattice parameters (Å, degrees): 6.142 6.142 6.145 119.32 119.32 91.23
Atoms (fractional coordinates):
Mg (0.500, 0.000, 0.000)
Mg (0.500, 0.000, 0.500)
Mg (0.000, 0.000, 0.500)
Mg (0.500, 0.500, 0.000)
Mn (0.500, 0.500, 0.500)
Mn (0.000, 0.000, 0.000)
Fe (0.000, 0.500, 0.000)
Fe (0.000, 0.500, 0.500)
O (0.260, 0.748, 0.014)
O (0.752, 0.240, 0.486)
O (0.248, 0.760, 0.514)
O (0.740, 0.252, 0.986)
O (0.744, 0.757, 0.011)
O (0.743, 0.756, 0.489)
O (0.257, 0.244, 0.511)
O (0.256, 0.243, 0.989)